(1)
Computed, not measured: a geometry-optimized Tb11Ce4Dy9 structure at the GGA-PBE level of DFT.

abc: 3.648 15.038 15.038
angles: 112.37 90.00 90.00
Site moments in Bohr magnetons follow the coordinates.
Atoms (fractional coordinates):
Tb 0.000 0.591 0.951  0.03
Tb 0.000 0.049 0.409  0.03
Tb 0.000 0.710 0.710  0.08
Tb 0.000 0.409 0.049  0.03
Tb 0.000 0.636 0.364  0.09
Tb 0.000 0.843 0.157  -0.01
Tb 0.000 0.157 0.843  -0.01
Tb 0.000 0.290 0.290  0.08
Tb 0.000 0.000 0.000  -0.03
Tb 0.000 0.364 0.636  0.09
Tb 0.000 0.951 0.591  0.03
Dy 0.500 0.365 0.839  -0.02
Dy 0.500 0.635 0.161  -0.02
Dy 0.500 0.161 0.635  -0.02
Dy 0.500 0.839 0.365  -0.02
Dy 0.500 0.931 0.786  0.02
Dy 0.500 0.069 0.214  0.02
Dy 0.500 0.214 0.069  0.02
Dy 0.500 0.500 0.500  0.03
Dy 0.500 0.786 0.931  0.02
Ce 0.500 0.552 0.752  0.74
Ce 0.500 0.752 0.552  0.74
Ce 0.500 0.448 0.248  0.74
Ce 0.500 0.248 0.448  0.74

Values from the calculation:
Crystal system ... orthorhombic
E_tot ... -113.7 eV per formula unit

(2)
Computed, not measured: a geometry-optimized Tb2CeDy7 structure at the GGA-PBE level of DFT.

abc: 3.459 14.717 14.717
angles: 154.49 90.00 90.00
Site moments in Bohr magnetons follow the coordinates.
Atoms (fractional coordinates):
Tb 0.500 0.293 0.707  -0.01
Tb 0.500 0.707 0.293  -0.01
Dy 0.500 0.852 0.654  0.00
Dy 0.500 0.148 0.346  0.00
Dy 0.500 0.500 0.500  0.09
Dy 0.500 0.654 0.852  0.00
Dy 0.000 0.813 0.187  -0.02
Dy 0.500 0.346 0.148  0.00
Dy 0.000 0.187 0.813  -0.02
Ce 0.000 0.000 0.000  0.70

Values from the calculation:
Offset from the most stable computed form ... 154 meV per atom
Crystal system ... orthorhombic
E_tot ... -45.5 eV per formula unit

(3)
Computed, not measured: a geometry-optimized TbCeDy2 structure at the GGA-PBE level of DFT.

abc: 3.526 3.526 10.008
angles: 90.00 90.00 90.00
Site moments in Bohr magnetons follow the coordinates.
Atoms (fractional coordinates):
Dy 0.000 0.000 0.755  0.01
Dy 0.000 0.000 0.245  0.01
Tb 0.500 0.500 0.500  -0.03
Ce 0.500 0.500 0.000  0.55

Values from the calculation:
Offset from the most stable computed form ... 4 meV per atom
Crystal system ... tetragonal
E_tot ... -19.5 eV per formula unit

(4)
Computed, not measured: a geometry-optimized Tb6CeDy5 structure at the GGA-PBE level of DFT.

abc: 5.022 10.041 9.394
angles: 122.28 105.48 90.04
Site moments in Bohr magnetons follow the coordinates.
Atoms (fractional coordinates):
Tb 0.834 0.585 0.669  0.01
Tb 0.166 0.415 0.331  0.01
Tb 0.500 0.752 0.000  0.04
Tb 0.835 0.084 0.669  0.01
Tb 0.500 0.248 0.000  0.04
Tb 0.165 0.916 0.331  0.01
Dy 0.334 0.834 0.668  0.02
Dy 0.000 0.500 0.000  0.00
Dy 0.333 0.333 0.666  -0.03
Dy 0.666 0.166 0.332  0.02
Dy 0.667 0.667 0.334  -0.03
Ce 0.000 0.000 0.000  0.76

Values from the calculation:
Crystal system ... orthorhombic
E_tot ... -56.3 eV per formula unit

(5)
Computed, not measured: a geometry-optimized Tb2CeDy2 structure at the GGA-PBE level of DFT.

abc: 4.502 4.502 8.889
angles: 104.67 104.67 90.00
Site moments in Bohr magnetons follow the coordinates.
Atoms (fractional coordinates):
Dy 0.406 0.406 0.813  0.08
Dy 0.594 0.594 0.187  0.08
Ce 0.000 0.000 0.000  0.86
Tb 0.250 0.750 0.500  -0.05
Tb 0.750 0.250 0.500  -0.05

Values from the calculation:
Crystal system ... tetragonal
E_tot ... -22.3 eV per formula unit

(6)
Computed, not measured: a geometry-optimized TbCeDy2 structure at the GGA-PBE level of DFT.

abc: 3.533 3.533 11.719
angles: 81.33 81.33 60.00
Site moments in Bohr magnetons follow the coordinates.
Atoms (fractional coordinates):
Ce 0.501 0.501 0.498  0.69
Dy 0.083 0.083 0.750  0.01
Dy 0.250 0.250 0.250  0.02
Tb 0.666 0.666 0.001  -0.05

Values from the calculation:
Offset from the most stable computed form ... 0 meV per atom
Crystal system ... trigonal
E_tot ... -19.5 eV per formula unit

(7)
Computed, not measured: a geometry-optimized Tb5CeDy12 structure at the GGA-PBE level of DFT.

abc: 10.646 10.636 6.141
angles: 106.64 90.00 59.97
Site moments in Bohr magnetons follow the coordinates.
Atoms (fractional coordinates):
Dy 0.333 0.667 0.999  0.02
Dy 0.166 0.000 0.500  0.04
Dy 0.500 0.667 0.501  0.00
Dy 0.000 0.667 0.999  0.02
Dy 0.833 0.667 0.501  0.00
Dy 0.332 0.000 0.000  0.02
Dy 0.834 0.000 0.500  0.04
Dy 0.167 0.333 0.499  0.00
Dy 0.500 0.333 0.499  0.00
Dy 0.667 0.333 0.001  0.02
Dy 0.668 0.000 0.000  0.02
Dy 0.000 0.333 0.001  0.02
Tb 0.667 0.666 0.999  -0.01
Tb 0.834 0.332 0.497  0.03
Tb 0.500 0.000 0.500  -0.01
Tb 0.333 0.334 0.001  -0.01
Tb 0.166 0.668 0.503  0.03
Ce 0.000 0.000 0.000  0.79

Values from the calculation:
Crystal system ... monoclinic
E_tot ... -83.8 eV per formula unit

(8)
Computed, not measured: a geometry-optimized Tb2CeDy4 structure at the GGA-PBE level of DFT.

abc: 3.570 3.573 20.134
angles: 95.21 90.00 119.97
Site moments in Bohr magnetons follow the coordinates.
Atoms (fractional coordinates):
Tb 0.713 0.426 0.381  -0.01
Tb 0.623 0.245 0.096  -0.06
Ce 0.806 0.612 0.667  0.77
Dy 0.525 0.049 0.811  0.01
Dy 0.431 0.862 0.523  0.03
Dy 0.904 0.808 0.952  -0.08
Dy 0.000 0.000 0.238  -0.01

Values from the calculation:
Offset from the most stable computed form ... 0 meV per atom
Crystal system ... monoclinic
E_tot ... -33.3 eV per formula unit

(9)
Computed, not measured: a geometry-optimized Tb8CeDy5 structure at the GGA-PBE level of DFT.

abc: 8.418 8.418 8.418
angles: 111.79 104.92 111.79
Site moments in Bohr magnetons follow the coordinates.
Atoms (fractional coordinates):
Tb 0.719 0.250 0.325  -0.01
Tb 0.170 0.737 0.073  0.06
Tb 0.075 0.750 0.469  -0.01
Tb 0.531 0.606 0.281  -0.01
Tb 0.927 0.097 0.664  0.06
Tb 0.567 0.903 0.830  0.06
Tb 0.336 0.263 0.433  0.06
Tb 0.675 0.394 0.925  -0.01
Dy 0.038 0.321 0.136  -0.01
Dy 0.500 0.000 0.500  -0.04
Dy 0.816 0.679 0.718  -0.01
Dy 0.864 0.902 0.184  -0.01
Dy 0.282 0.098 0.962  -0.01
Ce 0.250 0.500 0.750  0.97

Values from the calculation:
Crystal system ... tetragonal
E_tot ... -62.3 eV per formula unit

(10)
Computed, not measured: a geometry-optimized Tb3CeDy12 structure at the GGA-PBE level of DFT.

abc: 5.014 5.014 20.041
angles: 90.00 90.00 90.00
Site moments in Bohr magnetons follow the coordinates.
Atoms (fractional coordinates):
Ce 0.000 0.000 0.000  -0.70
Dy 0.000 0.500 0.625  -0.01
Dy 0.500 0.000 0.876  -0.02
Dy 0.500 0.000 0.375  -0.01
Dy 0.500 0.500 0.000  -0.06
Dy 0.000 0.500 0.375  -0.01
Dy 0.500 0.500 0.500  0.02
Dy 0.500 0.000 0.625  -0.01
Dy 0.500 0.000 0.124  -0.02
Dy 0.000 0.500 0.124  -0.02
Dy 0.000 0.500 0.876  -0.02
Dy 0.500 0.500 0.251  0.02
Dy 0.500 0.500 0.749  0.02
Tb 0.000 0.000 0.249  0.03
Tb 0.000 0.000 0.500  0.02
Tb 0.000 0.000 0.751  0.03

Values from the calculation:
Crystal system ... tetragonal
E_tot ... -74.6 eV per formula unit

(11)
Computed, not measured: a geometry-optimized Tb10CeDy4 structure at the GGA-PBE level of DFT.

abc: 10.577 8.632 8.632
angles: 67.95 52.22 52.22
Site moments in Bohr magnetons follow the coordinates.
Atoms (fractional coordinates):
Tb 0.228 0.328 0.902  -0.01
Tb 0.555 0.902 0.672  -0.01
Tb 0.870 0.902 0.672  -0.01
Tb 0.750 0.500 0.500  -0.04
Tb 0.130 0.098 0.328  -0.01
Tb 0.542 0.328 0.902  -0.01
Tb 0.772 0.672 0.098  -0.01
Tb 0.458 0.672 0.098  -0.01
Tb 0.445 0.098 0.328  -0.01
Tb 0.250 0.500 0.500  -0.04
Dy 0.936 0.397 0.732  0.04
Dy 0.667 0.268 0.397  0.04
Dy 0.333 0.732 0.603  0.04
Dy 0.064 0.603 0.268  0.04
Ce 0.000 0.000 0.000  1.05

Values from the calculation:
Crystal system ... tetragonal
E_tot ... -65.3 eV per formula unit

(12)
Computed, not measured: a geometry-optimized Tb8CeDy2 structure at the GGA-PBE level of DFT.

abc: 5.571 10.167 10.167
angles: 39.80 92.82 92.82
Site moments in Bohr magnetons follow the coordinates.
Atoms (fractional coordinates):
Tb 0.733 0.867 0.398  0.00
Tb 0.767 0.813 0.813  0.01
Tb 0.267 0.133 0.602  0.00
Tb 0.733 0.398 0.867  0.00
Tb 0.238 0.546 0.546  0.01
Tb 0.233 0.187 0.187  0.01
Tb 0.267 0.602 0.133  0.00
Tb 0.762 0.454 0.454  0.01
Ce 0.000 0.000 0.000  0.95
Dy 0.251 0.716 0.716  -0.04
Dy 0.749 0.284 0.284  -0.04

Values from the calculation:
Offset from the most stable computed form ... 140 meV per atom
Crystal system ... monoclinic
E_tot ... -50.2 eV per formula unit